Entry 1:
The following is a GGA-PBE calculation of a geometry-optimized ZrMo2W structure, from the Alexandria database.

## Properties
Magnetic moment, μB/f.u.: 0.000
E above lowest polymorph, kcal/mol of atoms: 2.13
E_form, eV/atom: 0.063

Cell: 3.246 4.535 4.659 Å, 90.00 90.00 90.00°
Space group Pmmm (No. 47)
Unique sites:
Zr (0.000, 0.000, 0.000) x1
Mo (0.000, 0.500, 0.500) x1
Mo (0.500, 0.500, 0.000) x1
W (0.500, 0.000, 0.500) x1


Entry 2:
The following is a GGA-PBE calculation of a geometry-optimized SrTl2GeMo structure, from the Alexandria database.

## Properties
Magnetic moment, μB/f.u.: 2.693
E_form, eV/atom: 0.859

Cell: 5.385 5.385 5.915 Å, 90.00 90.00 90.00°
Space group P4/mmm (No. 123)
Unique sites:
Sr (0.000, 0.000, 0.000) x1
Tl (0.000, 0.500, 0.500) x2
Ge (0.500, 0.500, 0.000) x1
Mo (0.000, 0.000, 0.500) x1


Entry 3:
The following is a GGA-PBE calculation of a geometry-optimized PrNd2Al structure, from the Alexandria database.

## Properties
Magnetic moment, μB/f.u.: 0.783
E above lowest polymorph, kcal/mol of atoms: 3.63
E_form, eV/atom: -0.008

Cell: 7.829 7.829 7.829 Å, 90.00 90.00 90.00°
Space group Fm-3m (No. 225)
Unique sites:
Pr (0.000, 0.000, 0.000) x4
Nd (0.250, 0.250, 0.250) x8
Al (0.000, 0.000, 0.500) x4


Entry 4:
The following is a GGA-PBE calculation of a geometry-optimized Dy2PuRu2 structure, from the Alexandria database.

## Properties
Magnetic moment, μB/f.u.: 4.190
E above lowest polymorph, kcal/mol of atoms: 0.00
E_form, eV/atom: -0.369

Cell: 10.066 5.792 7.804 Å, 90.00 101.66 90.00°
Space group C2/c (No. 15)
Unique sites:
Dy (0.152, 0.130, 0.151) x8
Pu (0.000, 0.369, 0.750) x4
Ru (0.132, 0.361, 0.509) x8


Entry 5:
The following is a GGA-PBE calculation of a geometry-optimized MgIr2Rh structure, from the Alexandria database.

## Properties
Magnetic moment, μB/f.u.: 0.000
E_form, eV/atom: -0.223

Cell: 5.528 7.764 5.479 Å, 90.00 90.00 90.00°
Space group Imma (No. 74)
Unique sites:
Mg (0.250, 0.250, 0.250) x4
Ir (0.000, 0.000, 0.000) x4
Ir (0.250, 0.250, 0.750) x4
Rh (0.000, 0.000, 0.500) x4


Entry 6:
The following is a GGA-PBE calculation of a geometry-optimized K2TcIBr6 structure, from the Alexandria database.

## Properties
Magnetic moment, μB/f.u.: 2.000
Uncorrected formation energy, eV per atom: -0.845

Cell: 7.282 7.573 8.536 Å, 94.45 114.21 114.83°
Space group P1 (No. 1)
Unique sites:
K (0.000, 0.000, 0.000) x1
K (0.123, 0.502, 0.589) x1
Tc (0.615, 0.700, 0.326) x1
I (0.345, 0.184, 0.791) x1
Br (0.034, 0.891, 0.404) x1
Br (0.183, 0.492, 0.217) x1
Br (0.511, 0.797, 0.035) x1
Br (0.596, 0.380, 0.194) x1
Br (0.649, 0.008, 0.495) x1
Br (0.719, 0.604, 0.622) x1


- The highest magnetic moment belongs to which entry?
  Dy2PuRu2


- magnetic moment of number 6 (K2TcIBr6)?
  2.000 μB/f.u.


- The highest magnetic moment belongs to which entry?
  Dy2PuRu2